Record 1
Density functional theory data (PBE) for a geometry-optimized Sm5Ga2Os structure.

a b c (Å): 4.644 7.696 12.072
angles (deg): 90.00 90.00 90.00
Fractional positions:
Sm  0.000  0.000  0.500
Sm  0.000  0.500  0.000
Sm  0.000  0.852  0.207
Sm  0.000  0.148  0.793
Sm  0.000  0.648  0.707
Sm  0.000  0.352  0.293
Sm  0.500  0.685  0.424
Sm  0.500  0.315  0.576
Sm  0.500  0.815  0.924
Sm  0.500  0.185  0.076
Ga  0.500  0.569  0.167
Ga  0.500  0.431  0.833
Ga  0.500  0.931  0.667
Ga  0.500  0.069  0.333
Os  0.000  0.500  0.500
Os  0.000  0.000  0.000

Properties
formation energy	-369	meV per atom
symmetry	Pbam (55)
crystal system	orthorhombic

---

Record 2
Density functional theory data (PBE) for a geometry-optimized Sm2Ga8Os structure.

a b c (Å): 4.345 4.345 11.385
angles (deg): 90.00 90.00 90.00
Fractional positions:
Os  0.000  0.000  0.000
Ga  0.000  0.500  0.500
Ga  0.500  0.000  0.500
Ga  0.500  0.500  0.307
Ga  0.500  0.500  0.693
Ga  0.000  0.500  0.119
Ga  0.500  0.000  0.119
Ga  0.000  0.500  0.881
Ga  0.500  0.000  0.881
Sm  0.000  0.000  0.306
Sm  0.000  0.000  0.694

Properties
formation energy	-449	meV per atom
symmetry	P4/mmm (123)
crystal system	tetragonal

---

Record 3
Density functional theory data (PBE) for a geometry-optimized Sm3GaOs structure.

a b c (Å): 5.839 5.839 8.646
angles (deg): 102.26 102.26 111.79
Fractional positions:
Sm  0.303  0.803  0.107
Sm  0.697  0.197  0.893
Sm  0.084  0.207  0.291
Sm  0.916  0.793  0.709
Sm  0.707  0.584  0.291
Sm  0.293  0.416  0.709
Ga  0.691  0.191  0.500
Ga  0.309  0.809  0.500
Os  0.250  0.250  0.000
Os  0.750  0.750  0.000

Properties
formation energy	-312	meV per atom
symmetry	Fmmm (69)
crystal system	orthorhombic

---

Record 4
Density functional theory data (PBE) for a geometry-optimized Sm4Ga12Os structure.

a b c (Å): 7.551 7.551 7.551
angles (deg): 109.47 109.47 109.47
Fractional positions:
Sm  0.000  0.000  0.500
Sm  0.500  0.000  0.000
Sm  0.500  0.500  0.500
Sm  0.000  0.500  0.000
Ga  0.000  0.291  0.291
Ga  0.000  0.709  0.709
Ga  0.709  0.709  0.000
Ga  0.291  0.291  0.000
Ga  0.291  0.000  0.291
Ga  0.709  0.000  0.709
Ga  0.500  0.250  0.750
Ga  0.500  0.750  0.250
Ga  0.750  0.250  0.500
Ga  0.250  0.750  0.500
Ga  0.750  0.500  0.250
Ga  0.250  0.500  0.750
Os  0.000  0.000  0.000

Properties
formation energy	-550	meV per atom
symmetry	Im-3m (229)
crystal system	cubic

---

Record 5
Density functional theory data (PBE) for a geometry-optimized SmGaOs structure.

a b c (Å): 3.784 4.366 4.366
angles (deg): 120.00 90.00 90.00
Fractional positions:
Os  0.167  0.000  0.000
Ga  0.167  0.667  0.333
Sm  0.667  0.333  0.667

Properties
formation energy	-242	meV per atom
symmetry	P-6m2 (187)
crystal system	hexagonal

---

Record 6
Density functional theory data (PBE) for a geometry-optimized Sm4Ga3Os structure.

a b c (Å): 4.254 4.273 10.853
angles (deg): 90.00 90.00 90.00
Fractional positions:
Os  0.500  0.500  0.067
Ga  0.000  0.500  0.573
Ga  0.000  0.000  0.428
Ga  0.500  0.000  0.933
Sm  0.500  0.500  0.346
Sm  0.000  0.500  0.870
Sm  0.000  0.000  0.139
Sm  0.500  0.000  0.644

Properties
formation energy	-469	meV per atom
symmetry	Pmm2 (25)
crystal system	orthorhombic

---

Record 7
Density functional theory data (PBE) for a geometry-optimized Sm2Ga6Os structure.

a b c (Å): 5.651 5.944 5.944
angles (deg): 60.02 89.95 89.95
Fractional positions:
Sm  0.825  0.667  0.667
Sm  0.175  0.333  0.333
Ga  0.318  0.350  0.825
Ga  0.319  0.825  0.825
Ga  0.318  0.825  0.350
Ga  0.682  0.650  0.175
Ga  0.681  0.175  0.175
Ga  0.682  0.175  0.650
Os  0.000  0.000  0.000

Properties
formation energy	-454	meV per atom
symmetry	P-3m1 (164)
crystal system	trigonal

---

Record 8
Density functional theory data (PBE) for a geometry-optimized Sm7Ga2Os2 structure.

a b c (Å): 6.840 7.067 6.840
angles (deg): 90.00 108.09 90.00
Fractional positions:
Sm  0.000  0.260  0.500
Sm  0.500  0.740  0.000
Sm  0.000  0.740  0.500
Sm  0.500  0.260  0.000
Sm  0.000  0.000  0.000
Sm  0.500  0.746  0.500
Sm  0.500  0.254  0.500
Ga  0.838  0.500  0.838
Ga  0.162  0.500  0.162
Os  0.703  0.000  0.297
Os  0.297  0.000  0.703

Properties
formation energy	-172	meV per atom
symmetry	Cmmm (65)
crystal system	orthorhombic

---

Record 9
Density functional theory data (PBE) for a geometry-optimized Ga2SnOs structure.

a b c (Å): 4.124 4.124 9.425
angles (deg): 77.36 77.36 90.00
Fractional positions:
Os  0.000  0.000  0.000
Os  0.750  0.250  0.500
Sn  0.500  0.500  0.000
Sn  0.250  0.750  0.500
Ga  0.681  0.125  0.250
Ga  0.069  0.625  0.250
Ga  0.375  0.319  0.750
Ga  0.875  0.931  0.750

Properties
formation energy	362	meV per atom
symmetry	I-42d (122)
crystal system	tetragonal

---

Record 10
Density functional theory data (PBE) for a geometry-optimized GaSnOs2 structure.

a b c (Å): 4.149 4.149 9.291
angles (deg): 77.10 77.10 90.00
Fractional positions:
Os  0.544  0.125  0.250
Os  0.206  0.625  0.250
Os  0.375  0.456  0.750
Os  0.875  0.794  0.750
Sn  0.000  0.000  0.000
Sn  0.750  0.250  0.500
Ga  0.500  0.500  0.000
Ga  0.250  0.750  0.500

Properties
formation energy	645	meV per atom
symmetry	I-42d (122)
crystal system	tetragonal

---

Record 11
Density functional theory data (PBE) for a geometry-optimized GaSn2Os2 structure.

a b c (Å): 7.612 7.612 3.184
angles (deg): 90.00 90.00 90.00
Fractional positions:
Os  0.352  0.852  0.000
Os  0.852  0.648  0.000
Os  0.648  0.148  0.000
Os  0.148  0.352  0.000
Sn  0.150  0.650  0.500
Sn  0.650  0.850  0.500
Sn  0.850  0.350  0.500
Sn  0.350  0.150  0.500
Ga  0.000  0.000  0.000
Ga  0.500  0.500  0.000

Properties
formation energy	375	meV per atom
symmetry	P4/mbm (127)
crystal system	tetragonal

---

Record 12
Density functional theory data (PBE) for a geometry-optimized GaSn3Os structure.

a b c (Å): 5.132 5.132 5.132
angles (deg): 90.00 90.00 90.00
Each line ends with the local moment (μB).
Fractional positions:
Os  0.500  0.500  0.500  1.95
Sn  0.000  0.500  0.000  -0.04
Sn  0.000  0.000  0.500  -0.02
Sn  0.500  0.000  0.000  -0.01
Ga  0.000  0.000  0.000  -0.01

Properties
formation energy	1408	meV per atom
symmetry	Pm-3m (221)
crystal system	cubic

---

Record 13
Density functional theory data (PBE) for a geometry-optimized GaSn3Os structure.

a b c (Å): 5.160 5.160 5.160
angles (deg): 90.00 90.00 90.00
Fractional positions:
Os  0.000  0.000  0.000
Sn  0.000  0.500  0.000
Sn  0.000  0.000  0.500
Sn  0.500  0.000  0.000
Ga  0.500  0.500  0.500

Properties
formation energy	371	meV per atom
symmetry	Pm-3m (221)
crystal system	cubic

---

Record 14
Density functional theory data (PBE) for a geometry-optimized Ga2Sn2Os structure.

a b c (Å): 3.871 3.871 7.872
angles (deg): 75.77 75.77 90.00
Each line ends with the local moment (μB).
Fractional positions:
Os  0.000  0.000  0.000  1.08
Sn  0.750  0.250  0.500  -0.01
Sn  0.250  0.750  0.500  -0.01
Ga  0.418  0.418  0.165  -0.01
Ga  0.582  0.582  0.835  -0.01

Properties
formation energy	964	meV per atom
symmetry	I4/mmm (139)
crystal system	tetragonal

---

Record 15
Density functional theory data (PBE) for a geometry-optimized Ga2Sn2Os structure.

a b c (Å): 6.595 6.595 4.754
angles (deg): 90.00 90.00 90.00
Fractional positions:
Os  0.000  0.000  0.000
Os  0.500  0.500  0.000
Sn  0.179  0.679  0.500
Sn  0.679  0.821  0.500
Sn  0.821  0.321  0.500
Sn  0.321  0.179  0.500
Ga  0.355  0.855  0.000
Ga  0.855  0.645  0.000
Ga  0.645  0.145  0.000
Ga  0.145  0.355  0.000

Properties
formation energy	383	meV per atom
symmetry	P4/mbm (127)
crystal system	tetragonal

---

Record 16
Density functional theory data (PBE) for a geometry-optimized Ga3SnOs structure.

a b c (Å): 4.856 4.856 4.856
angles (deg): 90.00 90.00 90.00
Fractional positions:
Os  0.000  0.000  0.000
Sn  0.500  0.500  0.500
Ga  0.000  0.500  0.000
Ga  0.000  0.000  0.500
Ga  0.500  0.000  0.000

Properties
formation energy	212	meV per atom
symmetry	Pm-3m (221)
crystal system	cubic

---

Record 17
Density functional theory data (PBE) for a geometry-optimized GaSnOs2 structure.

a b c (Å): 4.462 4.462 4.462
angles (deg): 60.00 60.00 60.00
Fractional positions:
Os  0.250  0.250  0.250
Os  0.750  0.750  0.750
Sn  0.500  0.500  0.500
Ga  0.000  0.000  0.000

Properties
formation energy	281	meV per atom
symmetry	Fm-3m (225)
crystal system	cubic

---

Record 18
Density functional theory data (PBE) for a geometry-optimized Ga2SnOs2 structure.

a b c (Å): 7.234 7.234 3.141
angles (deg): 90.00 90.00 90.00
Fractional positions:
Os  0.351  0.851  0.000
Os  0.851  0.649  0.000
Os  0.649  0.149  0.000
Os  0.149  0.351  0.000
Sn  0.000  0.000  0.000
Sn  0.500  0.500  0.000
Ga  0.146  0.646  0.500
Ga  0.646  0.854  0.500
Ga  0.854  0.354  0.500
Ga  0.354  0.146  0.500

Properties
formation energy	192	meV per atom
symmetry	P4/mbm (127)
crystal system	tetragonal

---

Record 19
Density functional theory data (PBE) for a geometry-optimized TlGa2SnOs structure.

a b c (Å): 4.874 4.874 5.241
angles (deg): 90.00 90.00 90.00
Fractional positions:
Tl  0.500  0.500  0.500
Os  0.000  0.000  0.000
Sn  0.000  0.000  0.500
Ga  0.000  0.500  0.000
Ga  0.500  0.000  0.000

Properties
formation energy	74	meV per atom
symmetry	P4/mmm (123)
crystal system	tetragonal

---

Record 20
Density functional theory data (PBE) for a geometry-optimized SrGa4Os structure.

a b c (Å): 4.797 4.797 7.188
angles (deg): 90.00 90.00 90.00
Fractional positions:
Sr  0.000  0.000  0.000
Ga  0.500  0.500  0.835
Ga  0.500  0.500  0.165
Ga  0.500  0.000  0.500
Ga  0.000  0.500  0.500
Os  0.500  0.500  0.500

Properties
formation energy	-118	meV per atom
symmetry	P4/mmm (123)
crystal system	tetragonal

---

Respective total moment values: 0.000, 0.000, 0.000, 0.000, 0.000, 0.000, 0.000, 0.000, 0.000, 0.000, 0.000, 0.418, 0.000, 0.218, 0.000, 0.000, 0.000, 0.000, 0.000, 0.000 μB per atom.